[1]
## Sm4PaS5 (PBE)

Data for an optimized crystal structure of Sm4PaS5.

Summary:
* E_form (uncorrected): -1.934 eV per atom
* V: 22.33 A^3/atom
* N(E_F): 6.31 states/eV per cell
* electronic total energy: -6.835 eV per atom

```
data_Sm4PaS5
_space_group_name_H-M_alt 'P 1'
_space_group_IT_number 1
_space_group_name_Hall 'P 1'
_cell_length_a 3.954
_cell_length_b 5.626
_cell_length_c 10.612
_cell_angle_alpha 105.37
_cell_angle_beta 100.74
_cell_angle_gamma 90.00
loop_
_atom_site_label
_atom_site_fract_x
_atom_site_fract_y
_atom_site_fract_z
Sm1 0.599 0.599 0.198
Sm2 0.805 0.805 0.611
Sm3 0.401 0.401 0.802
Sm4 0.195 0.195 0.389
S1 0.202 0.702 0.404
S2 0.000 0.500 0.000
S3 0.403 0.903 0.807
S4 0.798 0.298 0.596
S5 0.597 0.097 0.193
Pa1 0.000 0.000 0.000
```

---

[2]
## SmPaS (PBE)

Data for an optimized crystal structure of SmPaS.

Summary:
* E_form (uncorrected): -0.899 eV per atom
* V: 24.87 A^3/atom
* N(E_F): 8.06 states/eV per cell
* electronic total energy: -7.013 eV per atom

```
data_SmPaS
_space_group_name_H-M_alt 'P 1'
_space_group_IT_number 1
_space_group_name_Hall 'P 1'
_cell_length_a 5.510
_cell_length_b 5.510
_cell_length_c 6.273
_cell_angle_alpha 116.05
_cell_angle_beta 116.05
_cell_angle_gamma 90.00
loop_
_atom_site_label
_atom_site_fract_x
_atom_site_fract_y
_atom_site_fract_z
Pa1 0.360 0.360 0.720
Pa2 0.610 0.110 0.220
Sm1 0.054 0.554 0.108
Sm2 0.804 0.804 0.608
S1 0.086 0.086 0.172
S2 0.336 0.836 0.672
```

---

[3]
## Sm5Pa2S12 (PBE)

Data for an optimized crystal structure of Sm5Pa2S12.

Summary:
* E_form (uncorrected): -1.855 eV per atom
* V: 26.33 A^3/atom
* N(E_F): 4.30 states/eV per cell
* electronic total energy: -6.703 eV per atom

```
data_Sm5Pa2S12
_space_group_name_H-M_alt 'P 1'
_space_group_IT_number 1
_space_group_name_Hall 'P 1'
_cell_length_a 7.489
_cell_length_b 8.588
_cell_length_c 9.060
_cell_angle_alpha 105.66
_cell_angle_beta 90.00
_cell_angle_gamma 115.85
loop_
_atom_site_label
_atom_site_fract_x
_atom_site_fract_y
_atom_site_fract_z
S1 0.095 0.646 0.906
S2 0.009 0.019 0.805
S3 0.905 0.354 0.094
S4 0.501 0.001 0.219
S5 0.551 0.646 0.906
S6 0.896 0.297 0.564
S7 0.401 0.297 0.564
S8 0.599 0.703 0.436
S9 0.499 0.999 0.781
S10 0.104 0.703 0.436
S11 0.991 0.981 0.195
S12 0.449 0.354 0.094
Pa1 0.255 0.000 0.000
Pa2 0.745 0.000 0.000
Sm1 0.707 0.414 0.366
Sm2 0.689 0.377 0.820
Sm3 0.293 0.586 0.634
Sm4 0.311 0.623 0.180
Sm5 0.000 0.000 0.500
```

---

[4]
## Tb2SmPaS4 (PBE)

Data for an optimized crystal structure of Tb2SmPaS4.

Summary:
* E_form (uncorrected): -1.892 eV per atom
* V: 21.55 A^3/atom
* N(E_F): 5.28 states/eV per cell
* electronic total energy: -6.890 eV per atom

```
data_Tb2SmPaS4
_space_group_name_H-M_alt 'P 1'
_space_group_IT_number 1
_space_group_name_Hall 'P 1'
_cell_length_a 3.908
_cell_length_b 6.817
_cell_length_c 6.845
_cell_angle_alpha 109.03
_cell_angle_beta 90.00
_cell_angle_gamma 90.00
loop_
_atom_site_label
_atom_site_fract_x
_atom_site_fract_y
_atom_site_fract_z
Tb1 0.000 0.500 0.500
Tb2 0.500 0.000 0.500
S1 0.500 0.255 0.254
S2 0.000 0.252 0.747
S3 0.000 0.748 0.253
S4 0.500 0.745 0.746
Pa1 0.500 0.500 0.000
Sm1 0.000 0.000 0.000
```

---

[5]
## Sm2YPaS4 (PBE)

Data for an optimized crystal structure of Sm2YPaS4.

Summary:
* E_form (uncorrected): -1.894 eV per atom
* V: 21.86 A^3/atom
* N(E_F): 5.52 states/eV per cell
* electronic total energy: -7.132 eV per atom

```
data_Sm2YPaS4
_space_group_name_H-M_alt 'P 1'
_space_group_IT_number 1
_space_group_name_Hall 'P 1'
_cell_length_a 3.932
_cell_length_b 6.867
_cell_length_c 6.852
_cell_angle_alpha 109.09
_cell_angle_beta 90.00
_cell_angle_gamma 90.00
loop_
_atom_site_label
_atom_site_fract_x
_atom_site_fract_y
_atom_site_fract_z
S1 0.000 0.252 0.757
S2 0.500 0.248 0.241
S3 0.000 0.748 0.243
S4 0.500 0.752 0.759
Y1 0.000 0.000 0.000
Sm1 0.000 0.500 0.500
Sm2 0.500 0.000 0.500
Pa1 0.500 0.500 0.000
```

---

[6]
## PaSn3S6 (PBE)

Data for an optimized crystal structure of PaSn3S6.

Summary:
* E_form (uncorrected): -0.767 eV per atom
* V: 25.48 A^3/atom
* N(E_F): 8.97 states/eV per cell
* electronic total energy: -5.394 eV per atom

```
data_PaSn3S6
_space_group_name_H-M_alt 'P 1'
_space_group_IT_number 1
_space_group_name_Hall 'P 1'
_cell_length_a 3.901
_cell_length_b 11.691
_cell_length_c 11.410
_cell_angle_alpha 101.64
_cell_angle_beta 90.00
_cell_angle_gamma 90.00
loop_
_atom_site_label
_atom_site_fract_x
_atom_site_fract_y
_atom_site_fract_z
S1 0.250 0.351 0.559
S2 0.250 0.757 0.692
S3 0.750 0.821 0.289
S4 0.250 0.050 0.403
S5 0.750 0.243 0.308
S6 0.750 0.950 0.597
S7 0.250 0.402 0.084
S8 0.750 0.598 0.916
S9 0.250 0.882 0.030
S10 0.750 0.118 0.970
S11 0.750 0.649 0.441
S12 0.250 0.179 0.711
Sn1 0.250 0.394 0.335
Sn2 0.750 0.350 0.928
Sn3 0.750 0.993 0.160
Sn4 0.250 0.007 0.840
Sn5 0.250 0.650 0.072
Sn6 0.750 0.606 0.665
Pa1 0.250 0.823 0.462
Pa2 0.750 0.177 0.538
```

---

[7]
## Pa2SnS (PBE)

Data for an optimized crystal structure of Pa2SnS.

Summary:
* E_form (uncorrected): -0.771 eV per atom
* V: 23.37 A^3/atom
* distance to the lowest polymorph of the same formula: 0.0 meV per atom
* N(E_F): 5.38 states/eV per cell
* electronic total energy: -7.551 eV per atom

```
data_Pa2SnS
_space_group_name_H-M_alt 'P 1'
_space_group_IT_number 1
_space_group_name_Hall 'P 1'
_cell_length_a 3.425
_cell_length_b 3.425
_cell_length_c 9.412
_cell_angle_alpha 79.52
_cell_angle_beta 79.52
_cell_angle_gamma 60.00
loop_
_atom_site_label
_atom_site_fract_x
_atom_site_fract_y
_atom_site_fract_z
Sn1 0.500 0.500 0.500
S1 0.000 0.000 0.000
Pa1 0.263 0.263 0.210
Pa2 0.737 0.737 0.790
```

---

[8]
## PaSnS3 (PBE)

Data for an optimized crystal structure of PaSnS3.

Summary:
* E_form (uncorrected): -1.034 eV per atom
* V: 26.01 A^3/atom
* N(E_F): 9.63 states/eV per cell
* electronic total energy: -6.210 eV per atom

```
data_PaSnS3
_space_group_name_H-M_alt 'P 1'
_space_group_IT_number 1
_space_group_name_Hall 'P 1'
_cell_length_a 4.195
_cell_length_b 4.195
_cell_length_c 17.067
_cell_angle_alpha 90.00
_cell_angle_beta 90.00
_cell_angle_gamma 120.00
loop_
_atom_site_label
_atom_site_fract_x
_atom_site_fract_y
_atom_site_fract_z
S1 0.333 0.667 0.404
S2 0.000 0.000 0.677
S3 0.000 0.000 0.177
S4 0.333 0.667 0.051
S5 0.667 0.333 0.551
S6 0.667 0.333 0.904
Sn1 0.333 0.667 0.754
Sn2 0.667 0.333 0.254
Pa1 0.000 0.000 0.488
Pa2 0.000 0.000 0.988
```